[1]
VASP calculation (GGA-PBEsol) on crystalline Sr2Li2Zn at its relaxed geometry.

```
Sr2Li2Zn
1.0
-3.845 0.573 -0.534
-0.065 -2.900 -2.643
0.018 -5.239 8.661
Sr Li Zn
2 2 1
Direct
0.406 0.406 0.811
0.594 0.594 0.189
0.750 0.250 0.500
0.250 0.750 0.500
0.000 0.000 0.000
```

* size of the total moment: 0.000 μB/f.u.
* V: 29.97 A^3/atom
* uncorrected energy: -9.2 eV per cell

---

[2]
VASP calculation (GGA-PBEsol) on crystalline InTcO3 at its relaxed geometry.

```
InTcO3
1.0
-2.968 1.957 1.605
-1.654 -3.372 1.053
1.915 0.121 3.396
O Tc In
3 1 1
Direct
0.500 0.000 0.000
0.000 0.000 0.500
0.000 0.500 0.000
0.000 0.000 0.000
0.500 0.500 0.500
```

* size of the total moment: 0.003 μB/f.u.
* E_form (uncorrected): -1.18 eV per atom
* V: 11.87 A^3/atom

---

[3]
VASP calculation (GGA-PBEsol) on crystalline MoIrCl2 at its relaxed geometry.

```
MoIrCl2
1.0
2.914 0.000 0.000
1.457 2.524 0.000
1.457 0.841 8.708
Cl Mo Ir
2 1 1
Direct
0.086 0.086 0.742
0.914 0.914 0.258
0.000 0.000 0.000
0.500 0.500 0.500
```

* size of the total moment: 0.004 μB/f.u.
* energy above the lowest structure with this stoichiometry: 965 meV/atom
* E_form (uncorrected): 0.72 eV per atom
* V: 16.01 A^3/atom

---

> Among the records above, which one has the highest size of the total moment?

MoIrCl2